Density functional theory data (GGA-PBE) for crystalline BaLiW at its relaxed geometry.

CIF file:
```
data_BaLiW
_space_group_name_H-M_alt 'F m m 2'
_space_group_IT_number 42
_space_group_name_Hall 'F 2 -2'
_cell_length_a 4.1413
_cell_length_b 4.3006
_cell_length_c 15.6760
_cell_angle_alpha 90.00
_cell_angle_beta 90.00
_cell_angle_gamma 90.00
loop_
_atom_site_label
_atom_site_type_symbol
_atom_site_fract_x
_atom_site_fract_y
_atom_site_fract_z
Ba1 Ba 0.0000 0.0000 0.0000
Li1 Li 0.0000 0.0000 0.6995
W1 W 0.0000 0.0000 0.3239
```

Results
- polymorph energy (0 for the lowest one) (meV/atom) = 0
- energy of formation (kJ per mole of atoms) = 105
- DOS at the Fermi energy (states/eV/f.u.) = 1.75

Density functional theory data (GGA-PBE) for crystalline Rb2SrTl2 at its relaxed geometry.

CIF file:
```
data_Rb2SrTl2
_space_group_name_H-M_alt 'P 4/m b m'
_space_group_IT_number 127
_space_group_name_Hall '-P 4 2ab'
_cell_length_a 8.7700
_cell_length_b 8.7700
_cell_length_c 6.3999
_cell_angle_alpha 90.00
_cell_angle_beta 90.00
_cell_angle_gamma 90.00
loop_
_atom_site_label
_atom_site_type_symbol
_atom_site_fract_x
_atom_site_fract_y
_atom_site_fract_z
Rb1 Rb 0.1740 0.3260 0.0000
Sr1 Sr 0.0000 0.0000 0.5000
Tl1 Tl 0.1216 0.6216 0.5000
```

Results
- polymorph energy (0 for the lowest one) (meV/atom) = 0
- energy of formation (kJ per mole of atoms) = -2
- DOS at the Fermi energy (states/eV/f.u.) = 5.20

Density functional theory data (GGA-PBE) for crystalline Li2GePd at its relaxed geometry.

CIF file:
```
data_Li2GePd
_space_group_name_H-M_alt 'I -4 2 d'
_space_group_IT_number 122
_space_group_name_Hall 'I -4 2bw'
_cell_length_a 7.1318
_cell_length_b 7.1318
_cell_length_c 4.9794
_cell_angle_alpha 90.00
_cell_angle_beta 90.00
_cell_angle_gamma 90.00
loop_
_atom_site_label
_atom_site_type_symbol
_atom_site_fract_x
_atom_site_fract_y
_atom_site_fract_z
Li1 Li 0.2368 0.2500 0.1250
Ge1 Ge 0.0000 0.0000 0.5000
Pd1 Pd 0.0000 0.0000 0.0000
```

Results
- energy of formation (kJ per mole of atoms) = -23
- DOS at the Fermi energy (states/eV/f.u.) = 0.89

Density functional theory data (GGA-PBE) for crystalline InGe6Pd12 at its relaxed geometry.

CIF file:
```
data_InGe6Pd12
_space_group_name_H-M_alt 'R -3 m'
_space_group_IT_number 166
_space_group_name_Hall '-R 3 2"'
_cell_length_a 11.7845
_cell_length_b 11.7845
_cell_length_c 8.1484
_cell_angle_alpha 90.00
_cell_angle_beta 90.00
_cell_angle_gamma 120.00
loop_
_atom_site_label
_atom_site_type_symbol
_atom_site_fract_x
_atom_site_fract_y
_atom_site_fract_z
In1 In 0.0000 0.0000 0.0000
Ge1 Ge 0.0453 0.5226 0.2592
Pd1 Pd 0.0000 0.3749 0.5000
Pd2 Pd 0.0820 0.1640 0.3279
```

Results
- energy of formation (kJ per mole of atoms) = -38
- DOS at the Fermi energy (states/eV/f.u.) = 4.78

Density functional theory data (GGA-PBE) for crystalline YCdSbTe2 at its relaxed geometry.

CIF file:
```
data_YCdSbTe2
_space_group_name_H-M_alt 'P 4/m m m'
_space_group_IT_number 123
_space_group_name_Hall '-P 4 2'
_cell_length_a 5.5616
_cell_length_b 5.5616
_cell_length_c 5.4068
_cell_angle_alpha 90.00
_cell_angle_beta 90.00
_cell_angle_gamma 90.00
loop_
_atom_site_label
_atom_site_type_symbol
_atom_site_fract_x
_atom_site_fract_y
_atom_site_fract_z
Y1 Y 0.0000 0.0000 0.0000
Cd1 Cd 0.5000 0.5000 0.5000
Sb1 Sb 0.5000 0.5000 0.0000
Te1 Te 0.0000 0.5000 0.5000
```

Results
- polymorph energy (0 for the lowest one) (meV/atom) = 145
- uncorrected formation energy (eV/atom) = 0.155
- DOS at the Fermi energy (states/eV/f.u.) = 5.16

Density functional theory data (GGA-PBE) for crystalline Zr5Co4Ru at its relaxed geometry.

CIF file:
```
data_Zr5Co4Ru
_space_group_name_H-M_alt 'P 4/m m m'
_space_group_IT_number 123
_space_group_name_Hall '-P 4 2'
_cell_length_a 3.2191
_cell_length_b 3.2191
_cell_length_c 16.0364
_cell_angle_alpha 90.00
_cell_angle_beta 90.00
_cell_angle_gamma 90.00
loop_
_atom_site_label
_atom_site_type_symbol
_atom_site_fract_x
_atom_site_fract_y
_atom_site_fract_z
Zr1 Zr 0.0000 0.0000 0.0000
Zr2 Zr 0.0000 0.0000 0.1979
Zr3 Zr 0.0000 0.0000 0.3962
Co1 Co 0.5000 0.5000 0.0988
Co2 Co 0.5000 0.5000 0.2976
Ru1 Ru 0.5000 0.5000 0.5000
```

Results
- energy of formation (kJ per mole of atoms) = -33
- DOS at the Fermi energy (states/eV/f.u.) = 8.77

Density functional theory data (GGA-PBE) for crystalline Sr2CrAgN at its relaxed geometry.

CIF file:
```
data_Sr2CrAgN
_space_group_name_H-M_alt 'P 4/m m m'
_space_group_IT_number 123
_space_group_name_Hall '-P 4 2'
_cell_length_a 5.5388
_cell_length_b 5.5388
_cell_length_c 3.8053
_cell_angle_alpha 90.00
_cell_angle_beta 90.00
_cell_angle_gamma 90.00
loop_
_atom_site_label
_atom_site_type_symbol
_atom_site_fract_x
_atom_site_fract_y
_atom_site_fract_z
Sr1 Sr 0.0000 0.5000 0.0000
Cr1 Cr 0.0000 0.0000 0.5000
Ag1 Ag 0.5000 0.5000 0.5000
N1 N 0.0000 0.0000 0.0000
```

Results
- uncorrected formation energy (eV/atom) = -0.338
- DOS at the Fermi energy (states/eV/f.u.) = 3.25

Density functional theory data (GGA-PBE) for crystalline RbAsIrBr2 at its relaxed geometry.

CIF file:
```
data_RbAsIrBr2
_space_group_name_H-M_alt 'P 4/m m m'
_space_group_IT_number 123
_space_group_name_Hall '-P 4 2'
_cell_length_a 6.0477
_cell_length_b 6.0477
_cell_length_c 5.9931
_cell_angle_alpha 90.00
_cell_angle_beta 90.00
_cell_angle_gamma 90.00
loop_
_atom_site_label
_atom_site_type_symbol
_atom_site_fract_x
_atom_site_fract_y
_atom_site_fract_z
Rb1 Rb 0.0000 0.0000 0.0000
As1 As 0.0000 0.0000 0.5000
Ir1 Ir 0.5000 0.5000 0.5000
Br1 Br 0.0000 0.5000 0.0000
```

Results
- polymorph energy (0 for the lowest one) (meV/atom) = 2019
- uncorrected formation energy (eV/atom) = 1.648
- DOS at the Fermi energy (states/eV/f.u.) = 12.99

Density functional theory data (GGA-PBE) for crystalline LiLa2H12Pd3 at its relaxed geometry.

CIF file:
```
data_LiLa2H12Pd3
_space_group_name_H-M_alt 'R -3 m'
_space_group_IT_number 166
_space_group_name_Hall '-R 3 2"'
_cell_length_a 6.3663
_cell_length_b 6.3663
_cell_length_c 14.8447
_cell_angle_alpha 90.00
_cell_angle_beta 90.00
_cell_angle_gamma 120.00
loop_
_atom_site_label
_atom_site_type_symbol
_atom_site_fract_x
_atom_site_fract_y
_atom_site_fract_z
Li1 Li 0.0000 0.0000 0.0000
La1 La 0.0000 0.0000 0.3841
H1 H 0.0033 0.5017 0.6164
H2 H 0.0255 0.5127 0.8315
Pd1 Pd 0.0000 0.5000 0.5000
```

Results
- DOS at the Fermi energy (states/eV/f.u.) = 5.73
- DFT total energy (eV/atom) = -4.026

> What is the DOS at the Fermi energy in the third record?

0.89 states/eV/f.u.